VASP calculation (GGA+U) on crystalline NiAgB2F8 at its relaxed geometry.

Calculated values
As for the density: 3.11 g/cm³. The calculation puts the energy at -5.018 eV per atom.

abc: 5.2124 5.2124 7.7176
angles: 90.00 90.00 120.00
Space group P-3m1 (No. 164)
Inequivalent atoms, fractional coordinates:
Ni (0.0000, 0.0000, 0.0000) (multiplicity 1)
Ag (0.0000, 0.0000, 0.5000) (multiplicity 1)
B (0.3333, 0.6667, 0.7728) (multiplicity 2)
F (0.1850, 0.3700, 0.8386) (multiplicity 6)
F (0.3333, 0.6667, 0.5944) (multiplicity 2)